[1]
# Zr6Al2CoH10

An optimized crystal structure of Zr6Al2CoH10 (PBE, the Open Quantum Materials Database).

Unit cell a=8.065 b=8.065 c=7.125 alpha=90.00 beta=90.00 gamma=120.00
Sites, in units of the cell vectors:
Zr1 0.000 0.738 0.000
Zr2 0.000 0.738 0.500
Zr3 0.048 0.424 0.250
Zr4 0.262 0.262 0.000
Zr5 0.262 0.262 0.500
Zr6 0.376 0.952 0.250
Zr7 0.424 0.048 0.750
Zr8 0.576 0.624 0.250
Zr9 0.624 0.576 0.750
Zr10 0.738 0.000 0.000
Zr11 0.738 0.000 0.500
Zr12 0.952 0.376 0.750
Al1 0.333 0.667 0.552
Al2 0.333 0.667 0.948
Al3 0.667 0.333 0.052
Al4 0.667 0.333 0.448
Co1 0.000 0.000 0.250
Co2 0.000 0.000 0.750
H1 0.000 0.000 0.000
H2 0.000 0.000 0.500
H3 0.000 0.280 0.000
H4 0.000 0.280 0.500
H5 0.116 0.707 0.250
H6 0.117 0.237 0.750
H7 0.120 0.883 0.750
H8 0.237 0.117 0.250
H9 0.280 0.000 0.000
H10 0.280 0.000 0.500
H11 0.293 0.408 0.250
H12 0.408 0.293 0.750
H13 0.592 0.884 0.250
H14 0.707 0.116 0.750
H15 0.720 0.720 0.000
H16 0.720 0.720 0.500
H17 0.763 0.880 0.750
H18 0.880 0.763 0.250
H19 0.883 0.120 0.250
H20 0.884 0.592 0.750

Computed properties:
E_tot = -5.685 eV per atom
Symmetry = No. 190


[2]
# RbTbNO

An optimized crystal structure of RbTbNO (PBE, the Open Quantum Materials Database).

Unit cell a=4.038 b=4.038 c=8.888 alpha=90.00 beta=90.00 gamma=90.00
Sites, in units of the cell vectors:
Rb1 0.250 0.750 0.000
Rb2 0.750 0.250 0.000
Tb1 0.250 0.250 0.383
Tb2 0.750 0.750 0.617
N1 0.250 0.250 0.782
N2 0.750 0.750 0.218
O1 0.250 0.750 0.500
O2 0.750 0.250 0.500

Computed properties:
E_tot = -5.450 eV per atom
Symmetry = No. 129


[3]
# PrNiSnAsPd

An optimized crystal structure of PrNiSnAsPd (PBE, the Open Quantum Materials Database).

Unit cell a=4.283 b=4.283 c=10.706 alpha=90.00 beta=90.00 gamma=90.00
Sites, in units of the cell vectors:
Pr1 0.250 0.250 0.213
Pr2 0.750 0.750 0.787
Ni1 0.250 0.750 0.000
Ni2 0.750 0.250 0.000
Sn1 0.250 0.750 0.500
Sn2 0.750 0.250 0.500
As1 0.250 0.250 0.890
As2 0.750 0.750 0.110
Pd1 0.250 0.250 0.658
Pd2 0.750 0.750 0.342

Computed properties:
E_tot = -5.647 eV per atom
Symmetry = No. 129


[4]
# ZrZnFeSb

An optimized crystal structure of ZrZnFeSb (PBE, the Open Quantum Materials Database).

Unit cell a=4.648 b=4.648 c=4.648 alpha=60.00 beta=60.00 gamma=60.00
Sites, in units of the cell vectors:
Zr1 0.000 0.000 0.000
Zn1 0.750 0.750 0.750
Fe1 0.500 0.500 0.500
Sb1 0.250 0.250 0.250

Computed properties:
E_tot = -5.492 eV per atom
Symmetry = No. 216


[5]
# KNdNO

An optimized crystal structure of KNdNO (PBE, the Open Quantum Materials Database).

Unit cell a=3.765 b=3.765 c=4.887 alpha=90.00 beta=90.00 gamma=90.00
Sites, in units of the cell vectors:
K1 0.000 0.000 0.000
Nd1 0.500 0.500 0.500
N1 0.000 0.000 0.500
O1 0.500 0.500 0.000

Computed properties:
E_tot = -5.834 eV per atom
Symmetry = No. 123


[6]
# Ta2NiAs2

An optimized crystal structure of Ta2NiAs2 (PBE, the Open Quantum Materials Database).

Unit cell a=6.058 b=6.058 c=6.058 alpha=139.42 beta=139.42 gamma=58.73
Sites, in units of the cell vectors:
Ta1 0.250 0.750 0.500
Ta2 0.750 0.250 0.500
Ni1 0.000 0.000 0.000
As1 0.389 0.389 0.000
As2 0.611 0.611 0.000

Computed properties:
E_tot = -7.465 eV per atom
Symmetry = No. 139


[7]
# GdLuPt2

An optimized crystal structure of GdLuPt2 (PBE, the Open Quantum Materials Database).

Unit cell a=4.484 b=5.549 c=6.980 alpha=90.00 beta=90.00 gamma=90.00
Sites, in units of the cell vectors:
Gd1 0.000 0.110 0.000
Gd2 0.000 0.890 0.500
Lu1 0.500 0.391 0.637
Lu2 0.500 0.609 0.137
Pt1 0.000 0.408 0.364
Pt2 0.000 0.592 0.864
Pt3 0.500 0.097 0.275
Pt4 0.500 0.903 0.775

Computed properties:
Symmetry = No. 26
Formation energy from the elements = -1.289 eV/atom


[8]
# ZrInAgSe2S

An optimized crystal structure of ZrInAgSe2S (PBE, the Open Quantum Materials Database).

Unit cell a=7.392 b=7.392 c=10.258 alpha=90.00 beta=90.00 gamma=149.23
Sites, in units of the cell vectors:
Zr1 0.000 0.000 0.000
Zr2 0.000 0.000 0.500
In1 0.270 0.730 0.750
In2 0.730 0.270 0.250
Ag1 0.450 0.550 0.250
Ag2 0.550 0.450 0.750
Se1 0.366 0.634 0.028
Se2 0.366 0.634 0.472
Se3 0.634 0.366 0.528
Se4 0.634 0.366 0.972
S1 0.063 0.937 0.250
S2 0.937 0.063 0.750

Computed properties:
E_tot = -4.967 eV per atom
Symmetry = No. 63


[9]
# MgTlFeCo

An optimized crystal structure of MgTlFeCo (PBE, the Open Quantum Materials Database).

Unit cell a=4.458 b=4.458 c=4.458 alpha=60.00 beta=60.00 gamma=60.00
Sites, in units of the cell vectors:
Mg1 0.000 0.000 0.000
Tl1 0.250 0.250 0.250
Fe1 0.750 0.750 0.750
Co1 0.500 0.500 0.500

Computed properties:
E_tot = -4.488 eV per atom
Symmetry = No. 216


[10]
# MgTa2O4

An optimized crystal structure of MgTa2O4 (PBE, the Open Quantum Materials Database).

Unit cell a=6.110 b=6.110 c=6.110 alpha=60.00 beta=60.00 gamma=60.00
Sites, in units of the cell vectors:
Mg1 0.125 0.125 0.125
Mg2 0.875 0.875 0.875
Ta1 0.000 0.500 0.500
Ta2 0.500 0.000 0.500
Ta3 0.500 0.500 0.000
Ta4 0.500 0.500 0.500
O1 0.251 0.251 0.251
O2 0.251 0.251 0.748
O3 0.251 0.748 0.251
O4 0.252 0.749 0.749
O5 0.748 0.251 0.251
O6 0.749 0.252 0.749
O7 0.749 0.749 0.252
O8 0.749 0.749 0.749

Computed properties:
E_tot = -8.649 eV per atom
Symmetry = No. 227


[11]
# NdSmHf2Sb2

An optimized crystal structure of NdSmHf2Sb2 (PBE, the Open Quantum Materials Database).

Unit cell a=8.969 b=8.969 c=8.969 alpha=152.10 beta=152.10 gamma=39.87
Sites, in units of the cell vectors:
Nd1 0.000 0.000 0.000
Sm1 0.353 0.353 0.000
Hf1 0.178 0.678 0.500
Hf2 0.678 0.178 0.500
Sb1 0.550 0.550 0.000
Sb2 0.805 0.805 0.000

Computed properties:
E_tot = -6.990 eV per atom
Symmetry = No. 107


[12]
# KReGe

An optimized crystal structure of KReGe (PBE, the Open Quantum Materials Database).

Unit cell a=4.944 b=4.944 c=4.944 alpha=60.00 beta=60.00 gamma=60.00
Sites, in units of the cell vectors:
K1 0.000 0.000 0.000
Re1 0.250 0.250 0.250
Ge1 0.750 0.750 0.750

Computed properties:
E_tot = -3.620 eV per atom
Symmetry = No. 216


| no. | theoretical density (Mg/m³) |
| --- | --- |
| 1 | 5.5 |
| 2 | 6.3 |
| 3 | 8.4 |
| 4 | 7.8 |
| 5 | 5.1 |
| 6 | 10.2 |
| 7 | 13.8 |
| 8 | 5.8 |
| 9 | 9.1 |
| 10 | 9.3 |
| 11 | 9.4 |
| 12 | 5.8 |